{"formula": "TaTl2Hg", "functional": "PBE", "state": "relaxed", "lattice": [[0.401, -5.095, 0.526], [-0.084, -2.114, 4.682], [-4.068, -2.755, 1.502]], "species": ["Tl", "Tl", "Hg", "Ta"], "fractional_positions": [[0.250, 0.250, 0.250], [0.750, 0.750, 0.750], [0.500, 0.500, 0.500], [0.000, 0.000, 0.000]], "dos_at_fermi_per_ev_cell": 4.4, "e_form_ev_per_atom": 0.891, "de_polymorph_mev_per_atom": 476}